Compound: HfBeB3
Source: Alexandria via LeMat-Bulk
Functional: GGA-PBE
Structure: relaxed

Geometry as POSCAR:
```
HfBeB3
1.0
-3.0778 0.7822 -1.8051
-1.8400 -2.3302 2.1277
-0.6959 2.7021 2.3574
B Be Hf
3 1 1
Direct
0.0000 0.5000 0.0000 B
0.5000 0.0000 0.0000 B
0.0000 0.0000 0.5000 B
0.0000 0.0000 0.0000 Be
0.5000 0.5000 0.5000 Hf
```

Summary:
Energy above the lowest structure with this stoichiometry, kJ per mole of atoms: 117.8
Mass density, Mg/m³: 7.493
D(E_F), states/eV per atom: 0.37